# PBE-GGA Sm3YSe4, relaxed
# Crystal system ... orthorhombic
# Mass density ... 7.02 Mg/m³
# VASP energy ... -6.12 eV/atom
# V ... 202 Å³/f.u.
# E_form (uncorrected) ... -1.802 eV per atom
data_Sm3YSe4
_cell_length_a 8.3979
_cell_length_b 11.7489
_cell_length_c 4.1031
_cell_angle_alpha 90.00
_cell_angle_beta 90.00
_cell_angle_gamma 90.00
_symmetry_space_group_name_H-M 'C m m m'
_symmetry_Int_Tables_number 65
_symmetry_space_group_name_Hall '-C 2 2'
loop_
_atom_site_label
_atom_site_type_symbol
_atom_site_fract_x
_atom_site_fract_y
_atom_site_fract_z
Sm1 Sm 0.0000 0.0000 0.0000
Sm2 Sm 0.2500 0.2500 0.5000
Y1 Y 0.0000 0.5000 0.0000
Se1 Se 0.0000 0.2528 0.0000
Se2 Se 0.2445 0.5000 0.5000

---

# PBE-GGA TmGa5Rh6, relaxed
# Crystal system ... monoclinic
# Mass density ... 10.63 Mg/m³
# VASP energy ... -6.07 eV/atom
# V ... 177 Å³/f.u.
# Energy of formation from the pure elements ... -0.76 eV per atom
data_TmGa5Rh6
_cell_length_a 4.3140
_cell_length_b 6.3460
_cell_length_c 6.8216
_cell_angle_alpha 90.00
_cell_angle_beta 108.35
_cell_angle_gamma 90.00
_symmetry_space_group_name_H-M 'P 1 2/m 1'
_symmetry_Int_Tables_number 10
loop_
_symmetry_equiv_pos_as_xyz
'x,y,z'
'-x,-y,-z'
'-x,y,-z'
'x,-y,z'
loop_
_atom_site_label
_atom_site_type_symbol
_atom_site_fract_x
_atom_site_fract_y
_atom_site_fract_z
Tm1 Tm 0.0000 0.0000 0.0000
Ga1 Ga 0.0000 0.5000 0.0000
Ga2 Ga 0.3336 0.0000 0.6671
Ga3 Ga 0.3342 0.5000 0.6691
Rh1 Rh 0.1728 0.2579 0.3451
Rh2 Rh 0.5000 0.2701 0.0000